Density functional theory data (PBE) for a relaxed As2RuS2 crystal.

```
10
Lattice="-4.399 -3.469 2.401 3.431 -0.922 4.953 -2.076 4.165 2.214" Properties=species:S:1:pos:R:3 pbc="T T T"
S -2.352 -2.429 2.364
S 1.385 -1.962 4.990
S 0.477 -0.864 2.073
S -1.445 -3.528 5.281
As -3.381 -0.304 3.399
As 0.337 0.077 6.169
As -2.559 -1.470 6.363
As -0.485 1.243 3.205
Ru -0.484 -2.196 3.677
Ru 0.000 0.000 0.000
```

Values from the calculation:
- Size of the total moment: 0.000 μB per atom
- Formation energy from raw total energies: 297 meV/atom
- E above lowest polymorph: 0 meV per atom
- Uncorrected energy: -5.069 eV/atom
- Theoretical density: 5.5 g cm⁻³